(1)
DFT (GGA-PBE) results for a relaxed Ac2CoH6Rh crystal.

```
data_Ac2CoH6Rh
_chemical_formula_sum 'Ac4 Co2 H12 Rh2'
_space_group_name_H-M_alt 'C 1 2/m 1'
_space_group_IT_number 12
_cell_length_a 7.496
_cell_length_b 7.391
_cell_length_c 5.524
_cell_angle_alpha 90.00
_cell_angle_beta 132.55
_cell_angle_gamma 90.00
loop_
_space_group_symop_operation_xyz
'x,y,z'
'-x,-y,-z'
'-x,y,-z'
'x,-y,z'
'x+1/2,y+1/2,z'
'-x+1/2,-y+1/2,-z'
'-x+1/2,y+1/2,-z'
'x+1/2,-y+1/2,z'
loop_
_atom_site_label
_atom_site_fract_x
_atom_site_fract_y
_atom_site_fract_z
Ac1 0.000 0.250 0.000
Co1 0.000 0.000 0.500
H1 0.000 0.242 0.500
H2 0.201 0.000 0.902
H3 0.237 0.000 0.499
Rh1 0.000 0.500 0.500
```

## Properties
DOS(E_F) (states/eV per cell): 5.52
Volume (Å³/atom): 11.27
E_tot (Ry/atom): -0.3464

***

(2)
DFT (GGA-PBE) results for a relaxed Ac2CoH6Ru crystal.

```
data_Ac2CoH6Ru
_chemical_formula_sum 'Ac8 Co4 H24 Ru4'
_space_group_name_H-M_alt 'F m m 2'
_space_group_IT_number 42
_space_group_name_Hall 'F 2 -2'
_cell_length_a 7.528
_cell_length_b 7.543
_cell_length_c 7.980
_cell_angle_alpha 90.00
_cell_angle_beta 90.00
_cell_angle_gamma 90.00
loop_
_atom_site_label
_atom_site_fract_x
_atom_site_fract_y
_atom_site_fract_z
Ac1 0.250 0.250 0.000
Co1 0.000 0.000 0.279
H1 0.000 0.000 0.502
H2 0.000 0.000 0.960
H3 0.000 0.242 0.252
H4 0.242 0.000 0.252
Ru1 0.000 0.000 0.740
```

## Properties
DOS(E_F) (states/eV per cell): 7.05
Volume (Å³/atom): 11.33
E_tot (Ry/atom): -0.3544

***

(3)
DFT (GGA-PBE) results for a relaxed Ac6Tl2CoH crystal.

```
data_Ac6Tl2CoH
_chemical_formula_sum 'Ac6 Tl2 Co1 H1'
_space_group_name_H-M_alt 'P 4/m m m'
_space_group_IT_number 123
_space_group_name_Hall '-P 4 2'
_cell_length_a 5.450
_cell_length_b 5.450
_cell_length_c 11.199
_cell_angle_alpha 90.00
_cell_angle_beta 90.00
_cell_angle_gamma 90.00
loop_
_atom_site_label
_atom_site_fract_x
_atom_site_fract_y
_atom_site_fract_z
Ac1 0.000 0.000 0.247
Ac2 0.000 0.500 0.000
Ac3 0.000 0.500 0.500
Tl1 0.500 0.500 0.235
Co1 0.000 0.000 0.500
H1 0.000 0.000 0.000
```

## Properties
DOS(E_F) (states/eV per cell): 13.20
Volume (Å³/atom): 33.27
E_tot (Ry/atom): -0.3045